1.
## SiPtN2O (PBE)

Data for a geometry-optimized SiPtN2O structure.

Summary:
Space-group type = P4/mmm, No. 123
Theoretical density = 9343 kg/m³
Formation energy from raw total energies = 169 kJ/mol of formula units

a b c (Å): 3.763 3.763 3.354
angles (deg): 90.00 90.00 90.00
Fractional coordinates of all 5 atoms:
Pt: 0.500 0.500 0.500
N: 0.000 0.500 0.000
N: 0.500 0.000 0.000
O: 0.000 0.000 0.500
Si: 0.000 0.000 0.000

=====

2.
## Tb3Rh3Pb (PBE)

Data for a geometry-optimized Tb3Rh3Pb structure.

Summary:
Space-group type = P6_3/m, No. 176
Theoretical density = 10536 kg/m³
Energy of formation = -4.05 eV/f.u.

a b c (Å): 4.783 8.691 8.691
angles (deg): 120.00 90.00 90.00
Fractional coordinates of all 14 atoms:
Rh: 0.750 0.796 0.959
Rh: 0.250 0.959 0.162
Rh: 0.250 0.838 0.796
Rh: 0.750 0.162 0.204
Rh: 0.750 0.041 0.838
Rh: 0.250 0.204 0.041
Tb: 0.250 0.320 0.404
Tb: 0.250 0.596 0.916
Tb: 0.750 0.680 0.596
Tb: 0.250 0.084 0.680
Tb: 0.750 0.916 0.320
Tb: 0.750 0.404 0.084
Pb: 0.250 0.667 0.333
Pb: 0.750 0.333 0.667

=====

3.
## KRbZr2Os (PBE)

Data for a geometry-optimized KRbZr2Os structure.

Summary:
Space-group type = P4/mmm, No. 123
Theoretical density = 4605 kg/m³
Energy of formation = 3.51 eV/f.u.

a b c (Å): 5.087 6.928 5.087
angles (deg): 90.00 90.00 90.00
Fractional coordinates of all 5 atoms:
Zr: 0.000 0.000 0.500
Zr: 0.500 0.000 0.000
K: 0.500 0.500 0.500
Os: 0.000 0.000 0.000
Rb: 0.000 0.500 0.000

=====

4.
## TaTcRh2 (PBE)

Data for a geometry-optimized TaTcRh2 structure.

Summary:
Space-group type = Fmmm, No. 69
Theoretical density = 13379 kg/m³
Energy of formation = -1.49 eV/f.u.

a b c (Å): 4.805 4.805 4.807
angles (deg): 131.96 131.96 70.24
Fractional coordinates of all 4 atoms:
Rh: 0.500 0.500 0.000
Rh: 0.000 0.000 0.000
Ta: 0.750 0.250 0.500
Tc: 0.250 0.750 0.500